Below is Be2P after structural relaxation, with properties calculated at the PBE level.

```
Be2P
1.0
-0.492 -3.095 1.464
-0.575 0.423 -3.385
2.936 -0.747 -0.592
P Be
1 2
direct
0.000 0.000 0.000
0.333 0.667 0.500
0.667 0.333 0.500
```

Its calculated total energy is -0.27731 Ry per atom. As for the space-group type: No. 191. Its formation energy is 1.54 eV/f.u.